TaCr2W | meta-GGA SCAN | PBEsol geometry

Cell: 4.278 4.278 3.029 Å, 90.00 90.00 90.00°
Atoms (fractional coordinates):
Ta 0.000 0.000 0.000
Cr 0.000 0.500 0.500
Cr 0.500 0.000 0.500
W 0.500 0.500 0.000

Summary:
Energy above the most stable polymorph in this dataset, meV/atom: 6
DOS at the Fermi energy, states/eV/f.u.: 2.5
Total magnetic moment, Bohr magnetons per cell: 0.4